[1]
Compound: LiReAg2
Source: the Alexandria database
Functional: PBE
Structure: relaxed

Geometry as CIF:
```
data_LiReAg2
_cell_length_a 2.688
_cell_length_b 2.688
_cell_length_c 8.805
_cell_angle_alpha 90.00
_cell_angle_beta 90.00
_cell_angle_gamma 90.00
_space_group_name_H-M_alt 'P 4/m m m'
_space_group_IT_number 123
_space_group_name_Hall '-P 4 2'
loop_
_atom_site_label
_atom_site_fract_x
_atom_site_fract_y
_atom_site_fract_z
Li1 0.000 0.000 0.000
Re1 0.000 0.000 0.500
Ag1 0.500 0.500 0.243
```

Calculated values
As for the spin magnetization: 0.00 μB/f.u. The value obtained for the energy is -4.684 eV per atom. The value obtained for the energy above the most stable polymorph in this dataset is 0.15 eV/f.u. As for the formation energy: 0.33 eV/atom.

[2]
Compound: Tb3PmErTh
Source: the Alexandria database
Functional: PBE
Structure: relaxed

Geometry as CIF:
```
data_Tb3PmErTh
_cell_length_a 21.909
_cell_length_b 5.441
_cell_length_c 6.800
_cell_angle_alpha 90.00
_cell_angle_beta 99.04
_cell_angle_gamma 90.00
_space_group_name_H-M_alt 'C 1 2/m 1'
_space_group_IT_number 12
loop_
_space_group_symop_operation_xyz
'x,y,z'
'-x,-y,-z'
'-x,y,-z'
'x,-y,z'
'x+1/2,y+1/2,z'
'-x+1/2,-y+1/2,-z'
'-x+1/2,y+1/2,-z'
'x+1/2,-y+1/2,z'
loop_
_atom_site_label
_atom_site_fract_x
_atom_site_fract_y
_atom_site_fract_z
Tb1 0.027 0.000 0.275
Tb2 0.164 0.500 0.265
Tb3 0.224 0.500 0.808
Pm1 0.132 0.000 0.959
Er1 0.169 0.000 0.524
Th1 0.067 0.500 0.672
```

Calculated values
As for the spin magnetization: 0.00 μB/f.u. The value obtained for the energy is -4.907 eV per atom. As for the formation energy: 0.20 eV/atom.

[3]
Compound: CsLaGa3
Source: the Alexandria database
Functional: PBE
Structure: relaxed

Geometry as CIF:
```
data_CsLaGa3
_cell_length_a 5.649
_cell_length_b 5.649
_cell_length_c 5.649
_cell_angle_alpha 90.00
_cell_angle_beta 90.00
_cell_angle_gamma 90.00
_space_group_name_H-M_alt 'P m -3 m'
_space_group_IT_number 221
_space_group_name_Hall '-P 4 2 3'
loop_
_atom_site_label
_atom_site_fract_x
_atom_site_fract_y
_atom_site_fract_z
Cs1 0.000 0.000 0.000
La1 0.500 0.500 0.500
Ga1 0.000 0.000 0.500
```

Calculated values
As for the spin magnetization: 0.00 μB/f.u. The value obtained for the energy is -2.052 eV per atom. As for the formation energy: 0.92 eV/atom.